Entry from the Alexandria database: a geometry-optimized Cu3C structure (GGA-PBE).

POSCAR file:
```
Cu3C
1.0
4.3927 0.0000 0.0000
0.0000 4.3927 0.0000
0.0000 0.0000 4.3927
Cu C
6 2
Cartesian
0.0000 1.0982 2.1964
0.0000 3.2945 2.1964
1.0982 2.1964 0.0000
2.1964 0.0000 1.0982
2.1964 0.0000 3.2945
3.2945 2.1964 0.0000
0.0000 0.0000 0.0000
2.1964 2.1964 2.1964
```

Summary:
* final energy: -4.242 eV/atom
* calculated volume: 10.595 Å³ per atom
* E_form: 1.14 eV per atom